(1)
{"formula": "La2ZnOs", "functional": "PBE", "state": "relaxed", "lattice": [[0.0000, 3.5068, 3.5068], [3.5068, 0.0000, 3.5068], [3.5068, 3.5068, 0.0000]], "species": ["La", "La", "Zn", "Os"], "frac_coords": [[0.0000, 0.0000, 0.0000], [0.2500, 0.2500, 0.2500], [0.5000, 0.5000, 0.5000], [0.7500, 0.7500, 0.7500]], "formation_energy_ev_per_atom": 0.0729, "rho_g_cm3": 10.27, "spacegroup": "F-43m (216)", "dos_ef_per_ev_cell": 4.54}

(2)
{"formula": "MgTeSeN2", "functional": "PBE", "state": "relaxed", "lattice": [[4.2193, 0.0000, 0.0000], [0.0000, 4.2193, 0.0000], [0.0000, 0.0000, 5.4168]], "species": ["Mg", "Te", "Se", "N", "N"], "frac_coords": [[0.0000, 0.0000, 0.0000], [0.5000, 0.5000, 0.5000], [0.0000, 0.0000, 0.5000], [0.0000, 0.5000, 0.0000], [0.5000, 0.0000, 0.0000]], "formation_energy_uncorrected_ev_per_atom": 1.22, "polymorph_energy_ev_per_atom": 0.348, "rho_g_cm3": 4.46, "spacegroup": "P4/mmm (123)", "dos_ef_per_ev_cell": 3.30}

(3)
{"formula": "Tb3PmPr12", "functional": "PBE", "state": "relaxed", "lattice": [[5.2080, 0.0000, 0.0000], [0.0000, 5.2080, 0.0000], [0.0000, 0.0000, 20.7834]], "species": ["Tb", "Tb", "Tb", "Pm", "Pr", "Pr", "Pr", "Pr", "Pr", "Pr", "Pr", "Pr", "Pr", "Pr", "Pr", "Pr"], "frac_coords": [[0.0000, 0.0000, 0.0000], [0.0000, 0.0000, 0.2491], [0.0000, 0.0000, 0.7509], [0.0000, 0.0000, 0.5000], [0.0000, 0.5000, 0.1246], [0.0000, 0.5000, 0.3738], [0.0000, 0.5000, 0.6262], [0.0000, 0.5000, 0.8754], [0.5000, 0.0000, 0.1246], [0.5000, 0.0000, 0.3738], [0.5000, 0.0000, 0.6262], [0.5000, 0.0000, 0.8754], [0.5000, 0.5000, 0.0000], [0.5000, 0.5000, 0.2489], [0.5000, 0.5000, 0.5000], [0.5000, 0.5000, 0.7511]], "formation_energy_ev_per_atom": 0.0121, "rho_g_cm3": 6.81, "spacegroup": "P4/mmm (123)", "dos_ef_per_ev_cell": 25.20}

(4)
{"formula": "CsSn2Se2", "functional": "PBE", "state": "relaxed", "lattice": [[-2.3004, 2.3004, 8.3177], [2.3004, -2.3004, 8.3177], [2.3004, 2.3004, -8.3177]], "species": ["Cs", "Sn", "Sn", "Se", "Se"], "frac_coords": [[0.0000, 0.0000, 0.0000], [0.2500, 0.7500, 0.5000], [0.7500, 0.2500, 0.5000], [0.3786, 0.3786, 0.0000], [0.6214, 0.6214, 0.0000]], "formation_energy_uncorrected_ev_per_atom": -0.36, "polymorph_energy_ev_per_atom": 0.194, "rho_g_cm3": 4.98, "spacegroup": "I4/mmm (139)", "dos_ef_per_ev_cell": 5.35}

(5)
{"formula": "ZnSi2Ag", "functional": "PBE", "state": "relaxed", "lattice": [[4.4479, -1.4370, 0.0000], [4.4479, 1.4370, 0.0000], [-1.4379, 0.0000, 5.1111]], "species": ["Zn", "Si", "Si", "Ag"], "frac_coords": [[0.0000, 0.0000, 0.0000], [0.2487, 0.2487, 0.7337], [0.5015, 0.5015, 0.5418], [0.7584, 0.7584, 0.2359]], "formation_energy_uncorrected_ev_per_atom": 0.34, "rho_g_cm3": 5.83, "spacegroup": "Cm (8)", "dos_ef_per_ev_cell": 1.03}

(6)
{"formula": "CaTlPd2W", "functional": "PBE", "state": "relaxed", "lattice": [[4.7757, 0.0000, 0.0000], [0.0000, 4.7757, 0.0000], [0.0000, 0.0000, 5.1846]], "species": ["Ca", "Tl", "Pd", "Pd", "W"], "frac_coords": [[0.0000, 0.0000, 0.0000], [0.5000, 0.5000, 0.5000], [0.0000, 0.5000, 0.0000], [0.5000, 0.0000, 0.0000], [0.0000, 0.0000, 0.5000]], "formation_energy_ev_per_atom": 1.6195, "rho_g_cm3": 9.00, "spacegroup": "P4/mmm (123)", "dos_ef_per_ev_cell": 5.79}

(7)
{"formula": "RbAs3N", "functional": "PBE", "state": "relaxed", "lattice": [[7.1505, 0.0000, 0.0000], [0.0000, 7.1505, 0.0000], [0.0000, 0.0000, 7.1505]], "species": ["Rb", "As", "As", "As", "N"], "frac_coords": [[0.0000, 0.0000, 0.0000], [0.0000, 0.0000, 0.5000], [0.0000, 0.5000, 0.0000], [0.5000, 0.0000, 0.0000], [0.5000, 0.5000, 0.5000]], "formation_energy_uncorrected_ev_per_atom": 2.41, "polymorph_energy_ev_per_atom": 1.622, "rho_g_cm3": 1.47, "spacegroup": "Pm-3m (221)", "dos_ef_per_ev_cell": 1.88}

(8)
{"formula": "CsNbAl3", "functional": "PBE", "state": "relaxed", "lattice": [[5.3441, 0.0000, 0.0000], [0.0000, 5.3441, 0.0000], [0.0000, 0.0000, 5.3441]], "species": ["Cs", "Nb", "Al", "Al", "Al"], "frac_coords": [[0.0000, 0.0000, 0.0000], [0.5000, 0.5000, 0.5000], [0.0000, 0.0000, 0.5000], [0.0000, 0.5000, 0.0000], [0.5000, 0.0000, 0.0000]], "polymorph_energy_ev_per_atom": 1.930, "formation_energy_ev_per_atom": 2.4546, "rho_g_cm3": 3.34, "spacegroup": "Pm-3m (221)", "dos_ef_per_ev_cell": 7.71}

(9)
{"formula": "Sm2MgAlPd6", "functional": "PBE", "state": "relaxed", "lattice": [[4.9331, -2.8509, 0.0000], [4.9331, 2.8509, 0.0000], [-3.3008, 0.0000, 7.9919]], "species": ["Sm", "Sm", "Mg", "Al", "Pd", "Pd", "Pd", "Pd", "Pd", "Pd"], "frac_coords": [[0.2053, 0.2053, 0.1153], [0.7947, 0.7947, 0.8847], [0.0000, 0.0000, 0.5000], [0.5000, 0.5000, 0.0000], [0.2366, 0.7456, 0.2267], [0.2541, 0.2541, 0.7738], [0.2544, 0.7634, 0.7733], [0.7456, 0.2366, 0.2267], [0.7459, 0.7459, 0.2262], [0.7634, 0.2544, 0.7733]], "formation_energy_ev_per_atom": -0.6377, "rho_g_cm3": 7.32, "spacegroup": "C2/m (12)", "dos_ef_per_ev_cell": 2.86}

(10)
{"formula": "Li5ZnBi6", "functional": "PBE", "state": "relaxed", "lattice": [[-2.5742, 3.6513, 7.6186], [2.5742, -3.6513, 7.6186], [2.5742, 3.6513, -7.6186]], "species": ["Li", "Li", "Li", "Li", "Li", "Zn", "Bi", "Bi", "Bi", "Bi", "Bi", "Bi"], "frac_coords": [[0.0000, 0.0000, 0.0000], [0.1697, 0.6697, 0.5000], [0.3357, 0.3357, 0.0000], [0.6643, 0.6643, 0.0000], [0.8303, 0.3303, 0.5000], [0.5000, 0.0000, 0.5000], [0.0843, 0.8361, 0.2482], [0.2479, 0.5000, 0.7479], [0.4121, 0.1639, 0.2482], [0.5879, 0.8361, 0.7518], [0.7521, 0.5000, 0.2521], [0.9157, 0.1639, 0.7518]], "formation_energy_ev_per_atom": -0.2511, "rho_g_cm3": 7.85, "spacegroup": "Immm (71)", "dos_ef_per_ev_cell": 5.09}

(11)
{"formula": "Cs3HClF", "functional": "PBE", "state": "relaxed", "lattice": [[8.8388, 0.0000, 0.0000], [0.0000, 4.7614, 0.0000], [-3.5048, 0.0000, 10.5122]], "species": ["Cs", "Cs", "Cs", "Cs", "Cs", "Cs", "H", "H", "Cl", "Cl", "F", "F"], "frac_coords": [[0.0083, 0.2500, 0.3210], [0.2999, 0.2500, 0.9954], [0.4114, 0.7500, 0.6355], [0.5886, 0.2500, 0.3645], [0.7001, 0.7500, 0.0046], [0.9917, 0.7500, 0.6790], [0.1795, 0.2500, 0.6003], [0.8205, 0.7500, 0.3997], [0.2642, 0.7500, 0.2482], [0.7358, 0.2500, 0.7518], [0.3515, 0.7500, 0.8725], [0.6485, 0.2500, 0.1275]], "total_energy_ev_per_atom": -3.16, "rho_g_cm3": 3.41, "spacegroup": "P2_1/m (11)", "dos_ef_per_ev_cell": 0.00}

(12)
{"formula": "LaCdCl2", "functional": "PBE", "state": "relaxed", "lattice": [[3.9831, 0.0000, 0.0000], [0.0000, 3.9831, 0.0000], [0.0000, 0.0000, 6.9353]], "species": ["La", "Cd", "Cl", "Cl"], "frac_coords": [[0.0000, 0.0000, 0.0000], [0.5000, 0.5000, 0.3523], [0.0000, 0.0000, 0.5999], [0.5000, 0.5000, 0.8724]], "formation_energy_uncorrected_ev_per_atom": -1.27, "polymorph_energy_ev_per_atom": 0.157, "rho_g_cm3": 4.86, "spacegroup": "P4mm (99)", "dos_ef_per_ev_cell": 1.73}

What is the formula in the ninth record?
Sm2MgAlPd6